# Tm4FeTe

An optimized crystal structure of Tm4FeTe (PBE-GGA, Alexandria via LeMat-Bulk).

Cell: 7.9806 3.9200 19.0369 Å, 90.00 90.00 90.00°
Last column: nearest neighbours and their distance in Å.
Fractional positions:
Tm 0.0067 0.2500 0.0662  3 Fe 2.78-3.07
Tm 0.0521 0.7500 0.2120  4 Te 3.12-3.15, 4 Tm 3.42-3.44, 1 Fe 3.42
Tm 0.1359 0.7500 0.6419  2 Fe 2.74
Tm 0.1427 0.7500 0.4565  3 Fe 2.82-3.12
Tm 0.3573 0.2500 0.9565  3 Fe 2.82-3.12
Tm 0.3641 0.2500 0.1419  2 Fe 2.74
Tm 0.4479 0.2500 0.7120  4 Te 3.12-3.15, 4 Tm 3.42-3.44, 1 Fe 3.42
Tm 0.4933 0.7500 0.5662  3 Fe 2.78-3.07
Tm 0.5067 0.2500 0.4338  3 Fe 2.78-3.07
Tm 0.5521 0.7500 0.2880  4 Te 3.12-3.15, 4 Tm 3.42-3.44, 1 Fe 3.42
Tm 0.6359 0.7500 0.8581  2 Fe 2.74
Tm 0.6427 0.7500 0.0435  3 Fe 2.82-3.12
Tm 0.8573 0.2500 0.5435  3 Fe 2.82-3.12
Tm 0.8641 0.2500 0.3581  2 Fe 2.74
Tm 0.9479 0.2500 0.7880  4 Te 3.12-3.15, 4 Tm 3.42-3.44, 1 Fe 3.42
Tm 0.9933 0.7500 0.9338  3 Fe 2.78-3.07
Fe 0.2479 0.2500 0.5532  6 Tm 2.74-2.82
Fe 0.2521 0.7500 0.0532  6 Tm 2.74-2.82
Fe 0.7479 0.2500 0.9468  6 Tm 2.74-2.82
Fe 0.7521 0.7500 0.4468  6 Tm 2.74-2.82
Te 0.2467 0.2500 0.3096  7 Tm 3.12-3.33
Te 0.2533 0.7500 0.8096  7 Tm 3.12-3.33
Te 0.7467 0.2500 0.1904  7 Tm 3.12-3.33
Te 0.7533 0.7500 0.6904  7 Tm 3.12-3.33

Output
Offset from the most stable computed form: 0.0000 eV/atom


# Tm4FeTe

An optimized crystal structure of Tm4FeTe (PBE-GGA, Alexandria via LeMat-Bulk).

Cell: 8.8395 8.8395 9.2011 Å, 105.77 105.77 32.98°
Last column: nearest neighbours and their distance in Å.
Fractional positions:
Tm 0.0107 0.0107 0.2464  2 Fe 2.49-2.77
Tm 0.1976 0.1976 0.9095  1 Fe 2.57
Tm 0.2298 0.2298 0.2978  1 Fe 2.81, 1 Te 3.10
Tm 0.4004 0.4004 0.9592  2 Fe 2.52
Tm 0.5996 0.5996 0.0408  2 Fe 2.52
Tm 0.7702 0.7702 0.7022  1 Fe 2.81, 1 Te 3.10
Tm 0.8024 0.8024 0.0905  1 Fe 2.57
Tm 0.9893 0.9893 0.7536  2 Fe 2.49-2.77
Fe 0.0870 0.0870 0.0516  5 Tm 2.49-2.77
Fe 0.9130 0.9130 0.9484  5 Tm 2.49-2.77
Te 0.1483 0.1483 0.5602  5 Tm 3.08-3.28
Te 0.8517 0.8517 0.4398  5 Tm 3.08-3.28

Output
Offset from the most stable computed form: 0.2162 eV/atom


# Tm2FeTe

An optimized crystal structure of Tm2FeTe (PBE-GGA, Alexandria via LeMat-Bulk).

Cell: 9.3659 9.3659 9.3659 Å, 23.07 23.07 23.07°
Last column: nearest neighbours and their distance in Å.
Fractional positions:
Tm 0.0897 0.0897 0.0897  1 Fe 2.45
Tm 0.9103 0.9103 0.9103  1 Fe 2.45
Fe 0.0000 0.0000 0.0000  2 Tm 2.45
Te 0.5000 0.5000 0.5000  6 Tm 3.02


# Tm4Fe2Te

An optimized crystal structure of Tm4Fe2Te (PBE-GGA, Alexandria via LeMat-Bulk).

Cell: 5.5838 5.5838 17.6820 Å, 90.00 90.00 139.42°
Last column: nearest neighbours and their distance in Å.
Fractional positions:
Tm 0.0000 0.0000 0.0000  6 Fe 2.89-3.09
Tm 0.0000 0.0000 0.5000  6 Fe 2.89-3.09
Tm 0.3021 0.6979 0.6295  3 Fe 2.72-2.81
Tm 0.3021 0.6979 0.8705  3 Fe 2.72-2.81
Tm 0.3829 0.6171 0.2500  3 Te 2.95-3.01
Tm 0.6171 0.3829 0.7500  3 Te 2.95-3.01
Tm 0.6979 0.3021 0.1295  3 Fe 2.72-2.81
Tm 0.6979 0.3021 0.3705  3 Fe 2.72-2.81
Fe 0.2730 0.7270 0.0234  2 Fe 2.16
Fe 0.2730 0.7270 0.4766  2 Fe 2.16
Fe 0.7270 0.2730 0.5234  2 Fe 2.16
Fe 0.7270 0.2730 0.9766  2 Fe 2.16
Te 0.0953 0.9047 0.2500  7 Tm 2.95-3.07
Te 0.9047 0.0953 0.7500  7 Tm 2.95-3.07


| no. | formation energy from raw total energies (eV per atom) | calculated volume (Å³ per cell) |
| --- | --- | --- |
| 1 | -0.456 | 595.5 |
| 2 | -0.240 | 375.3 |
| 3 | 0.261 | 110.7 |
| 4 | -0.185 | 358.7 |